A geometry-optimized NaBe2V structure. Source: Alexandria via LeMat-Bulk, functional GGA-PBE.

Unit cell a=5.991 b=5.991 c=5.991 alpha=90.00 beta=90.00 gamma=90.00
Space group Fm-3m (No. 225)
Asymmetric unit:
Na1 0.000 0.000 0.000 (multiplicity 4)
Be1 0.250 0.250 0.250 (multiplicity 8)
V1 0.000 0.000 0.500 (multiplicity 4)

Values from the calculation:
**Formation energy**: 83 kJ/mol of atoms
**Theoretical density**: 2.84 Mg/m³
**Polymorph energy (0 for the lowest one)**: 0 meV/atom